No. 1
First-principles (PBE-GGA) data for an optimized crystal structure of ScBr3, as listed in the Alexandria database.

Structure (POSCAR):
```
ScBr3
1.0
-1.1472 3.5832 -0.8281
-6.6396 -2.6439 -2.2427
-6.7258 -1.4719 2.9485
Sc Br
1 3
Direct
0.5000 0.2500 0.2500 Sc
0.0000 0.1180 0.1181 Br
0.0000 0.3820 0.3819 Br
0.5000 0.7500 0.7500 Br
```

Summary:
Energy relative to the elements, uncorrected: -1649.3 meV per atom
Density of states at the Fermi level: 0.0 states/eV per cell

=====

No. 2
First-principles (PBE-GGA) data for an optimized crystal structure of ScBr, as listed in the Alexandria database.

Structure (POSCAR):
```
ScBr
1.0
-1.2829 -6.4678 2.3248
-0.6359 -6.2413 -3.0862
3.6365 5.9323 0.6831
Sc Br
2 2
Direct
0.7500 0.2500 0.5000 Sc
0.5000 0.5000 0.0000 Sc
0.0000 0.0000 0.0000 Br
0.2500 0.7500 0.5000 Br
```

Summary:
Energy relative to the elements, uncorrected: -539.8 meV per atom
Density of states at the Fermi level: 3.8 states/eV per cell

=====

No. 3
First-principles (PBE-GGA) data for an optimized crystal structure of ScBr3, as listed in the Alexandria database.

Structure (POSCAR):
```
ScBr3
1.0
-4.7781 2.1130 4.3465
-1.7919 -3.1095 -5.7713
0.2322 -6.2164 3.2772
Br Sc
6 2
Direct
0.3610 0.3610 0.7806 Br
0.0000 0.6390 0.7806 Br
0.6390 0.0000 0.7806 Br
0.0000 0.3610 0.2194 Br
0.6390 0.6390 0.2194 Br
0.3610 0.0000 0.2194 Br
0.3333 0.6667 0.0000 Sc
0.6667 0.3333 0.0000 Sc
```

Summary:
Energy relative to the elements, uncorrected: -1717.2 meV per atom
Density of states at the Fermi level: 0.0 states/eV per cell